4
Lattice="0.012 0.087 4.022 -3.353 0.968 2.001 -1.985 -2.815 2.079" Properties=species:S:1:pos:R:3 comment="BiCN2 PBE optimized geometry" raw_formation_energy_ev_per_atom=2.72 vol_a3_per_cell=46.0 e_above_lowest_polymorph_mev_per_atom=2357 total_magnetization_mub_per_cell=0.00 pbc="T T T"
C 0.000 0.000 0.000
N -3.994 -1.320 6.076
N -1.331 -0.440 2.025
Bi -2.663 -0.880 4.051


6
Lattice="1.453 1.741 3.252 -3.913 -0.500 -0.401 0.517 -6.770 3.393" Properties=species:S:1:pos:R:3 comment="ZnInB PBE optimized geometry" vol_a3_per_cell=103.3 e_form_ev_per_fu=2.706 total_magnetization_mub_per_cell=0.00 pbc="T T T"
B -1.995 -1.445 1.665
B 0.052 -4.083 4.580
Zn 0.000 0.000 0.000
Zn 0.259 -3.385 1.697
In -0.206 -0.698 2.883
In -1.736 -4.830 3.362


4
Lattice="3.696 0.000 0.000 0.000 3.696 0.000 0.000 0.000 10.760" Properties=species:S:1:pos:R:3 comment="CaLa2Dy PBE optimized geometry" vol_a3_per_cell=147.0 e_above_lowest_polymorph_mev_per_atom=12 e_form_ev_per_fu=0.196 total_magnetization_mub_per_cell=0.00 pbc="T T T"
La 0.000 0.000 2.505
La 0.000 0.000 8.255
Dy 1.848 1.848 0.000
Ca 1.848 1.848 5.380


16
Lattice="6.015 -0.013 0.000 0.013 6.015 0.000 0.000 0.000 7.951" Properties=species:S:1:pos:R:3 comment="LiCdAu14 PBE optimized geometry" vol_a3_per_cell=287.7 e_form_ev_per_fu=-1.808 total_magnetization_mub_per_cell=0.00 pbc="T T T"
Au 3.738 0.767 2.009
Au 5.275 5.252 0.000
Au 0.777 0.773 5.941
Au 3.738 0.767 5.941
Au 5.268 2.244 0.000
Au 3.744 3.728 5.941
Au 2.267 5.259 3.975
Au 2.260 2.251 0.000
Au 5.268 2.245 3.975
Au 0.783 3.735 2.009
Au 0.777 0.773 2.010
Au 0.783 3.735 5.941
Au 2.267 5.259 0.000
Au 3.744 3.728 2.009
Li 2.260 2.251 3.975
Cd 5.275 5.252 3.975


no.,DFT total energy (eV/cell)
1,-18.87
2,-15.97
3,-16.26
4,-50.52